# 1
Entry from Alexandria via LeMat-Bulk: a relaxed structure of Sc2TlVN (PBE).

The space group is No. 123. The calculation puts the total energy at -7.277 eV per atom.

Lattice parameters (Å, degrees): 4.5354 4.5354 4.0133 90.00 90.00 90.00
Site moments in Bohr magnetons follow the coordinates.
Atoms (fractional coordinates):
Sc1 0.0000 0.5000 0.0000  0.00
Sc2 0.5000 0.0000 0.0000  0.00
Tl1 0.5000 0.5000 0.5000  -0.03
N1 0.0000 0.0000 0.0000  -0.05
V1 0.0000 0.0000 0.5000  1.22


# 2
Entry from Alexandria via LeMat-Bulk: a relaxed structure of LaThAl2Zn2 (PBE).

Its formation energy is -0.39 eV per atom. The space group is No. 164.

Lattice parameters (Å, degrees): 4.5809 4.5809 7.7026 90.00 90.00 120.00
Atoms (fractional coordinates):
La1 0.0000 0.0000 0.0000
Th1 0.0000 0.0000 0.5000
Al1 0.3333 0.6667 0.7332
Al2 0.6667 0.3333 0.2668
Zn1 0.3333 0.6667 0.2721
Zn2 0.6667 0.3333 0.7279


# 3
Entry from Alexandria via LeMat-Bulk: a relaxed structure of Ce4CoCl5 (PBE).

The space group is No. 12. The relative energy among the computed polymorphs comes out at 31 meV/atom.

Lattice parameters (Å, degrees): 3.8914 7.4512 9.3842 100.09 101.97 90.00
Site moments in Bohr magnetons follow the coordinates.
Atoms (fractional coordinates):
Ce1 0.6286 0.3041 0.2571  1.21
Ce2 0.0554 0.8375 0.1108  0.87
Ce3 0.3714 0.6959 0.7429  1.21
Ce4 0.9446 0.1625 0.8892  0.87
Co1 0.5000 0.0000 0.0000  -0.24
Cl1 0.1887 0.0976 0.3774  -0.01
Cl2 0.1744 0.5929 0.3487  0.00
Cl3 0.8256 0.4071 0.6513  0.00
Cl4 0.5000 0.5000 0.0000  -0.01
Cl5 0.8113 0.9024 0.6226  -0.01


# 4
Entry from Alexandria via LeMat-Bulk: a relaxed structure of Ac2Sm7Tm2 (PBE).

Its formation energy is 0.17 eV per atom. The space group is No. 12.

Lattice parameters (Å, degrees): 8.9330 6.1738 8.9330 63.40 96.50 116.60
Atoms (fractional coordinates):
Ac1 0.2211 0.8394 0.7789
Ac2 0.7789 0.1606 0.2211
Sm1 0.4064 0.1806 0.0542
Sm2 0.0542 0.8194 0.4064
Sm3 0.5936 0.8194 0.9458
Sm4 0.9458 0.1806 0.5936
Sm5 0.5794 0.3614 0.4206
Sm6 0.0000 0.0000 0.0000
Sm7 0.4206 0.6386 0.5794
Tm1 0.7661 0.5000 0.7661
Tm2 0.2339 0.5000 0.2339


# 5
Entry from Alexandria via LeMat-Bulk: a relaxed structure of Sr2AgS2I2 (PBE).

The space group is No. 139. The calculation puts the total energy at -3.792 eV per atom.

Lattice parameters (Å, degrees): 4.9159 4.9159 9.4409 105.09 105.09 90.00
Atoms (fractional coordinates):
Sr1 0.3889 0.3889 0.7778
Sr2 0.6111 0.6111 0.2222
Ag1 0.0000 0.0000 0.0000
S1 0.0000 0.5000 0.0000
S2 0.5000 0.0000 0.0000
I1 0.1883 0.1883 0.3766
I2 0.8117 0.8117 0.6234


# 6
Entry from Alexandria via LeMat-Bulk: a relaxed structure of TlSeCl (PBE).

The space group is No. 156. The calculation puts the total energy at -2.922 eV per atom.

Lattice parameters (Å, degrees): 4.1178 4.1178 6.2633 90.00 90.00 120.00
Atoms (fractional coordinates):
Cl1 0.0000 0.0000 0.9213
Se1 0.6667 0.3333 0.4318
Tl1 0.3333 0.6667 0.6470


Q: What is the formula in the third record?
A: Ce4CoCl5


What did the fifth record say?
Entry from Alexandria via LeMat-Bulk: a relaxed structure of Sr2AgS2I2 (PBE).

The space group is No. 139. The calculation puts the total energy at -3.792 eV per atom.

Lattice parameters (Å, degrees): 4.9159 4.9159 9.4409 105.09 105.09 90.00
Atoms (fractional coordinates):
Sr1 0.3889 0.3889 0.7778
Sr2 0.6111 0.6111 0.2222
Ag1 0.0000 0.0000 0.0000
S1 0.0000 0.5000 0.0000
S2 0.5000 0.0000 0.0000
I1 0.1883 0.1883 0.3766
I2 0.8117 0.8117 0.6234